The following is a GGA+U calculation of a relaxed V2PbF2 crystal, from the Alexandria database.

a = 4.3245 Å, b = 4.3245 Å, c = 10.9462 Å
α = 90.00°, β = 90.00°, γ = 90.00°
Space group I4/mmm (No. 139)
Unique sites:
V 0.0000 0.5000 0.2500 [4 per cell]
Pb 0.0000 0.0000 0.0000 [2 per cell]
F 0.0000 0.0000 0.2865 [4 per cell]

Output
energy relative to the lowest polymorph listed for this composition	0.00	eV/f.u.
crystal system	tetragonal
total energy	-51.820	eV/cell